Material: CoRe2Os
Method: DFT, GGA-PBE
State: relaxed

Output
ΔE_f: 9 kJ per mole of atoms
magnetization: 0.00 μB/f.u.
energy relative to the lowest polymorph listed for this composition: 150 meV/atom

```
data_CoRe2Os
_space_group_name_H-M_alt 'C 1 m 1'
_space_group_IT_number 8
_space_group_name_Hall 'C -2y'
_cell_length_a 8.835
_cell_length_b 2.721
_cell_length_c 4.683
_cell_angle_alpha 90.00
_cell_angle_beta 100.00
_cell_angle_gamma 90.00
loop_
_atom_site_label
_atom_site_type_symbol
_atom_site_fract_x
_atom_site_fract_y
_atom_site_fract_z
Co1 Co 0.000 0.000 0.000
Re1 Re 0.001 0.500 0.503
Re2 Re 0.256 0.000 0.783
Os1 Os 0.253 0.500 0.262
```



Material: Co2ReOs
Method: DFT, GGA-PBE
State: relaxed

Output
ΔE_f: 38 kJ per mole of atoms
magnetization: 3.59 μB/f.u.
energy relative to the lowest polymorph listed for this composition: 362 meV/atom

```
data_Co2ReOs
_space_group_name_H-M_alt 'C m m 2'
_space_group_IT_number 35
_space_group_name_Hall 'C 2 -2'
_cell_length_a 2.805
_cell_length_b 4.444
_cell_length_c 8.590
_cell_angle_alpha 90.00
_cell_angle_beta 90.00
_cell_angle_gamma 90.00
loop_
_atom_site_label
_atom_site_type_symbol
_atom_site_fract_x
_atom_site_fract_y
_atom_site_fract_z
Co1 Co 0.000 0.000 0.000
Co2 Co 0.000 0.500 0.228
Re1 Re 0.000 0.500 0.748
Os1 Os 0.000 0.000 0.481
```



Material: CoRe2Os
Method: DFT, GGA-PBE
State: relaxed

Output
ΔE_f: 5 kJ per mole of atoms
magnetization: 0.01 μB/f.u.
energy relative to the lowest polymorph listed for this composition: 103 meV/atom

```
data_CoRe2Os
_space_group_name_H-M_alt 'P 1 2/m 1'
_space_group_IT_number 10
_space_group_name_Hall '-P 2y'
_cell_length_a 2.708
_cell_length_b 3.791
_cell_length_c 5.365
_cell_angle_alpha 90.00
_cell_angle_beta 90.11
_cell_angle_gamma 90.00
loop_
_atom_site_label
_atom_site_type_symbol
_atom_site_fract_x
_atom_site_fract_y
_atom_site_fract_z
Co1 Co 0.000 0.000 0.000
Re1 Re 0.499 0.500 0.238
Os1 Os 0.000 0.000 0.500
```



Material: CoRe2Os
Method: DFT, GGA-PBE
State: relaxed

Output
ΔE_f: 4 kJ per mole of atoms
magnetization: 0.00 μB/f.u.
energy relative to the lowest polymorph listed for this composition: 94 meV/atom

```
data_CoRe2Os
_space_group_name_H-M_alt 'P 4/m m m'
_space_group_IT_number 123
_space_group_name_Hall '-P 4 2'
_cell_length_a 3.787
_cell_length_b 3.787
_cell_length_c 3.829
_cell_angle_alpha 90.00
_cell_angle_beta 90.00
_cell_angle_gamma 90.00
loop_
_atom_site_label
_atom_site_type_symbol
_atom_site_fract_x
_atom_site_fract_y
_atom_site_fract_z
Co1 Co 0.000 0.000 0.000
Re1 Re 0.000 0.500 0.500
Os1 Os 0.500 0.500 0.000
```



Material: Co2ReOs
Method: DFT, GGA-PBE
State: relaxed

Output
ΔE_f: 15 kJ per mole of atoms
magnetization: 1.74 μB/f.u.
energy relative to the lowest polymorph listed for this composition: 121 meV/atom

```
data_Co2ReOs
_space_group_name_H-M_alt 'C 1 2/m 1'
_space_group_IT_number 12
_space_group_name_Hall '-C 2y'
_cell_length_a 8.595
_cell_length_b 2.661
_cell_length_c 4.582
_cell_angle_alpha 90.00
_cell_angle_beta 100.42
_cell_angle_gamma 90.00
loop_
_atom_site_label
_atom_site_type_symbol
_atom_site_fract_x
_atom_site_fract_y
_atom_site_fract_z
Co1 Co 0.249 0.000 0.252
Re1 Re 0.000 0.000 0.500
Os1 Os 0.000 0.500 0.000
```



Material: Co2ReOs
Method: DFT, GGA-PBE
State: relaxed

Output
ΔE_f: 3 kJ per mole of atoms
magnetization: 0.00 μB/f.u.
energy relative to the lowest polymorph listed for this composition: 0 meV/atom

```
data_Co2ReOs
_space_group_name_H-M_alt 'A m m 2'
_space_group_IT_number 38
_space_group_name_Hall 'A 2 -2'
_cell_length_a 4.005
_cell_length_b 2.600
_cell_length_c 9.563
_cell_angle_alpha 90.00
_cell_angle_beta 90.00
_cell_angle_gamma 90.00
loop_
_atom_site_label
_atom_site_type_symbol
_atom_site_fract_x
_atom_site_fract_y
_atom_site_fract_z
Co1 Co 0.000 0.000 0.000
Co2 Co 0.500 0.000 0.130
Re1 Re 0.500 0.000 0.394
Os1 Os 0.000 0.000 0.731
```



Material: CoReOs
Method: DFT, GGA-PBE
State: relaxed

Output
ΔE_f: 14 kJ per mole of atoms
magnetization: 0.83 μB/f.u.
energy relative to the lowest polymorph listed for this composition: 85 meV/atom

```
data_CoReOs
_space_group_name_H-M_alt 'P 3 m 1'
_space_group_IT_number 156
_space_group_name_Hall 'P 3 -2"'
_cell_length_a 2.7020
_cell_length_b 2.7020
_cell_length_c 6.4429
_cell_angle_alpha 90.00
_cell_angle_beta 90.00
_cell_angle_gamma 120.00
loop_
_atom_site_label
_atom_site_type_symbol
_atom_site_fract_x
_atom_site_fract_y
_atom_site_fract_z
Co1 Co 0.0000 0.0000 0.0000
Re1 Re 0.3333 0.6667 0.3280
Os1 Os 0.6667 0.3333 0.6707
```



Material: Co2ReOs
Method: DFT, GGA-PBE
State: relaxed

Output
ΔE_f: 32 kJ per mole of atoms
magnetization: 1.83 μB/f.u.
energy relative to the lowest polymorph listed for this composition: 290 meV/atom

```
data_Co2ReOs
_space_group_name_H-M_alt 'P 4/m m m'
_space_group_IT_number 123
_space_group_name_Hall '-P 4 2'
_cell_length_a 4.380
_cell_length_b 4.380
_cell_length_c 2.650
_cell_angle_alpha 90.00
_cell_angle_beta 90.00
_cell_angle_gamma 90.00
loop_
_atom_site_label
_atom_site_type_symbol
_atom_site_fract_x
_atom_site_fract_y
_atom_site_fract_z
Co1 Co 0.000 0.500 0.000
Re1 Re 0.000 0.000 0.500
Os1 Os 0.500 0.500 0.500
```



Material: CoRe2Os
Method: DFT, GGA-PBE
State: relaxed

Output
ΔE_f: 13 kJ per mole of atoms
magnetization: 0.36 μB/f.u.
energy relative to the lowest polymorph listed for this composition: 183 meV/atom

```
data_CoRe2Os
_space_group_name_H-M_alt 'R 3 m'
_space_group_IT_number 160
_space_group_name_Hall 'R 3 -2"'
_cell_length_a 2.7170
_cell_length_b 2.7170
_cell_length_c 26.0884
_cell_angle_alpha 90.00
_cell_angle_beta 90.00
_cell_angle_gamma 120.00
loop_
_atom_site_label
_atom_site_type_symbol
_atom_site_fract_x
_atom_site_fract_y
_atom_site_fract_z
Co1 Co 0.0000 0.0000 0.0000
Re1 Re 0.0000 0.0000 0.5009
Re2 Re 0.0000 0.0000 0.7460
Os1 Os 0.0000 0.0000 0.2531
```



Material: CoRe2Os
Method: DFT, GGA-PBE
State: relaxed

Output
ΔE_f: 30 kJ per mole of atoms
magnetization: 1.12 μB/f.u.
energy relative to the lowest polymorph listed for this composition: 364 meV/atom

```
data_CoRe2Os
_space_group_name_H-M_alt 'I m m 2'
_space_group_IT_number 44
_space_group_name_Hall 'I 2 -2'
_cell_length_a 2.747
_cell_length_b 4.416
_cell_length_c 9.210
_cell_angle_alpha 90.00
_cell_angle_beta 90.00
_cell_angle_gamma 90.00
loop_
_atom_site_label
_atom_site_type_symbol
_atom_site_fract_x
_atom_site_fract_y
_atom_site_fract_z
Co1 Co 0.000 0.000 0.000
Re1 Re 0.000 0.000 0.490
Re2 Re 0.000 0.500 0.278
Os1 Os 0.000 0.500 0.720
```



Material: Co2ReOs
Method: DFT, GGA-PBE
State: relaxed

Output
ΔE_f: 12 kJ per mole of atoms
magnetization: 1.32 μB/f.u.
energy relative to the lowest polymorph listed for this composition: 91 meV/atom

```
data_Co2ReOs
_space_group_name_H-M_alt 'C m m m'
_space_group_IT_number 65
_space_group_name_Hall '-C 2 2'
_cell_length_a 5.233
_cell_length_b 7.340
_cell_length_c 2.626
_cell_angle_alpha 90.00
_cell_angle_beta 90.00
_cell_angle_gamma 90.00
loop_
_atom_site_label
_atom_site_type_symbol
_atom_site_fract_x
_atom_site_fract_y
_atom_site_fract_z
Co1 Co 0.250 0.250 0.000
Re1 Re 0.000 0.000 0.500
Os1 Os 0.000 0.500 0.500
```



Material: Co2ReOs
Method: DFT, GGA-PBE
State: relaxed

Output
ΔE_f: 14 kJ per mole of atoms
magnetization: 2.12 μB/f.u.
energy relative to the lowest polymorph listed for this composition: 105 meV/atom

```
data_Co2ReOs
_space_group_name_H-M_alt 'P 4 m m'
_space_group_IT_number 99
_space_group_name_Hall 'P 4 -2'
_cell_length_a 2.678
_cell_length_b 2.678
_cell_length_c 7.117
_cell_angle_alpha 90.00
_cell_angle_beta 90.00
_cell_angle_gamma 90.00
loop_
_atom_site_label
_atom_site_type_symbol
_atom_site_fract_x
_atom_site_fract_y
_atom_site_fract_z
Co1 Co 0.000 0.000 0.000
Co2 Co 0.500 0.500 0.228
Re1 Re 0.500 0.500 0.754
Os1 Os 0.000 0.000 0.473
```



Material: Co2Re2Os
Method: DFT, GGA-PBE
State: relaxed

Output
ΔE_f: 17 kJ per mole of atoms
magnetization: 0.00 μB/f.u.

```
data_Co2Re2Os
_space_group_name_H-M_alt 'P 4/m b m'
_space_group_IT_number 127
_space_group_name_Hall '-P 4 2ab'
_cell_length_a 6.877
_cell_length_b 6.877
_cell_length_c 2.761
_cell_angle_alpha 90.00
_cell_angle_beta 90.00
_cell_angle_gamma 90.00
loop_
_atom_site_label
_atom_site_type_symbol
_atom_site_fract_x
_atom_site_fract_y
_atom_site_fract_z
Co1 Co 0.121 0.379 0.000
Re1 Re 0.176 0.676 0.500
Os1 Os 0.000 0.000 0.000
```



Material: Co2ReOs
Method: DFT, GGA-PBE
State: relaxed

Output
ΔE_f: 10 kJ per mole of atoms
magnetization: 0.10 μB/f.u.
energy relative to the lowest polymorph listed for this composition: 71 meV/atom

```
data_Co2ReOs
_space_group_name_H-M_alt 'P m m 2'
_space_group_IT_number 25
_space_group_name_Hall 'P 2 -2'
_cell_length_a 2.627
_cell_length_b 3.717
_cell_length_c 5.179
_cell_angle_alpha 90.00
_cell_angle_beta 90.00
_cell_angle_gamma 90.00
loop_
_atom_site_label
_atom_site_type_symbol
_atom_site_fract_x
_atom_site_fract_y
_atom_site_fract_z
Co1 Co 0.000 0.000 0.000
Co2 Co 0.500 0.500 0.238
Re1 Re 0.500 0.500 0.761
Os1 Os 0.000 0.000 0.478
```



Material: CoRe2Os
Method: DFT, GGA-PBE
State: relaxed

Output
ΔE_f: 23 kJ per mole of atoms
magnetization: 0.00 μB/f.u.
energy relative to the lowest polymorph listed for this composition: 294 meV/atom

```
data_CoRe2Os
_space_group_name_H-M_alt 'P 4 m m'
_space_group_IT_number 99
_space_group_name_Hall 'P 4 -2'
_cell_length_a 3.121
_cell_length_b 3.121
_cell_length_c 5.691
_cell_angle_alpha 90.00
_cell_angle_beta 90.00
_cell_angle_gamma 90.00
loop_
_atom_site_label
_atom_site_type_symbol
_atom_site_fract_x
_atom_site_fract_y
_atom_site_fract_z
Co1 Co 0.000 0.000 0.000
Re1 Re 0.000 0.000 0.521
Re2 Re 0.500 0.500 0.801
Os1 Os 0.500 0.500 0.247
```



Material: CoRe2Os
Method: DFT, GGA-PBE
State: relaxed

Output
ΔE_f: 12 kJ per mole of atoms
magnetization: 0.36 μB/f.u.
energy relative to the lowest polymorph listed for this composition: 173 meV/atom

```
data_CoRe2Os
_space_group_name_H-M_alt 'C 1 2/m 1'
_space_group_IT_number 12
_space_group_name_Hall '-C 2y'
_cell_length_a 8.933
_cell_length_b 2.727
_cell_length_c 4.629
_cell_angle_alpha 90.00
_cell_angle_beta 100.27
_cell_angle_gamma 90.00
loop_
_atom_site_label
_atom_site_type_symbol
_atom_site_fract_x
_atom_site_fract_y
_atom_site_fract_z
Co1 Co 0.000 0.000 0.000
Re1 Re 0.250 0.000 0.753
Os1 Os 0.000 0.500 0.500
```



Material: Co2ReOs
Method: DFT, GGA-PBE
State: relaxed

Output
ΔE_f: 16 kJ per mole of atoms
magnetization: 2.85 μB/f.u.
energy relative to the lowest polymorph listed for this composition: 126 meV/atom

```
data_Co2ReOs
_space_group_name_H-M_alt 'R 3 m'
_space_group_IT_number 160
_space_group_name_Hall 'R 3 -2"'
_cell_length_a 2.6817
_cell_length_b 2.6817
_cell_length_c 25.3410
_cell_angle_alpha 90.00
_cell_angle_beta 90.00
_cell_angle_gamma 120.00
loop_
_atom_site_label
_atom_site_type_symbol
_atom_site_fract_x
_atom_site_fract_y
_atom_site_fract_z
Co1 Co 0.0000 0.0000 0.0000
Co2 Co 0.0000 0.0000 0.2577
Re1 Re 0.0000 0.0000 0.7522
Os1 Os 0.0000 0.0000 0.5055
```



Material: CoRe2Os
Method: DFT, GGA-PBE
State: relaxed

Output
ΔE_f: 41 kJ per mole of atoms
magnetization: 2.14 μB/f.u.
energy relative to the lowest polymorph listed for this composition: 473 meV/atom

```
data_CoRe2Os
_space_group_name_H-M_alt 'C m m 2'
_space_group_IT_number 35
_space_group_name_Hall 'C 2 -2'
_cell_length_a 2.854
_cell_length_b 4.506
_cell_length_c 8.884
_cell_angle_alpha 90.00
_cell_angle_beta 90.00
_cell_angle_gamma 90.00
loop_
_atom_site_label
_atom_site_type_symbol
_atom_site_fract_x
_atom_site_fract_y
_atom_site_fract_z
Co1 Co 0.000 0.000 0.000
Re1 Re 0.000 0.000 0.499
Re2 Re 0.000 0.500 0.241
Os1 Os 0.000 0.500 0.757
```



Material: Co2ReOs
Method: DFT, GGA-PBE
State: relaxed

Output
ΔE_f: 28 kJ per mole of atoms
magnetization: 0.62 μB/f.u.
energy relative to the lowest polymorph listed for this composition: 253 meV/atom

```
data_Co2ReOs
_space_group_name_H-M_alt 'F -4 3 m'
_space_group_IT_number 216
_space_group_name_Hall 'F -4 2 3'
_cell_length_a 5.936
_cell_length_b 5.936
_cell_length_c 5.936
_cell_angle_alpha 90.00
_cell_angle_beta 90.00
_cell_angle_gamma 90.00
loop_
_atom_site_label
_atom_site_type_symbol
_atom_site_fract_x
_atom_site_fract_y
_atom_site_fract_z
Co1 Co 0.000 0.000 0.000
Co2 Co 0.250 0.250 0.250
Re1 Re 0.000 0.000 0.500
Os1 Os 0.250 0.250 0.750
```



Material: Co2ReOs
Method: DFT, GGA-PBE
State: relaxed

Output
ΔE_f: 79 kJ per mole of atoms
magnetization: 0.00 μB/f.u.
energy relative to the lowest polymorph listed for this composition: 783 meV/atom

```
data_Co2ReOs
_space_group_name_H-M_alt 'I -4 2 d'
_space_group_IT_number 122
_space_group_name_Hall 'I -4 2bw'
_cell_length_a 6.510
_cell_length_b 6.510
_cell_length_c 5.161
_cell_angle_alpha 90.00
_cell_angle_beta 90.00
_cell_angle_gamma 90.00
loop_
_atom_site_label
_atom_site_type_symbol
_atom_site_fract_x
_atom_site_fract_y
_atom_site_fract_z
Co1 Co 0.246 0.250 0.125
Re1 Re 0.000 0.000 0.000
Os1 Os 0.000 0.000 0.500
```